Below is crystalline Re2AgPt at its relaxed geometry, with properties calculated at the PBE level.

Geometry as POSCAR:
```
Re2AgPt
1.0
-2.863 2.863 5.669
2.863 -2.863 5.669
2.863 2.863 -5.669
Re Ag Pt
4 2 2
Direct
0.108 0.625 0.983 Re
0.375 0.358 0.483 Re
0.642 0.125 0.017 Re
0.875 0.892 0.517 Re
0.250 0.750 0.500 Ag
0.500 0.500 0.000 Ag
0.000 0.000 0.000 Pt
0.750 0.250 0.500 Pt
```

Results
Total DFT energy (no corrections): -6.474 eV/atom
Formation enthalpy at 0 K: 1973 meV/atom
Symmetry: I-42d
Crystal system: tetragonal



Below is crystalline ReAgPt2 at its relaxed geometry, with properties calculated at the PBE level.

Geometry as POSCAR:
```
ReAgPt2
1.0
0.000 3.177 3.177
3.177 0.000 3.177
3.177 3.177 0.000
Re Ag Pt
1 1 2
Direct
0.000 0.000 0.000 Re
0.500 0.500 0.500 Ag
0.250 0.250 0.250 Pt
0.750 0.750 0.750 Pt
```

Results
Total DFT energy (no corrections): -6.447 eV/atom
Formation enthalpy at 0 K: 398 meV/atom
Symmetry: Fm-3m
Crystal system: cubic